(1)
{
  "formula": "Nd3Th5Hg12",
  "functional": "PBE",
  "state": "relaxed",
  "lattice": [[-8.854, 8.854, 8.854], [8.854, -8.854, 8.854], [8.854, 8.854, -8.854]],
  "species": ["Nd", "Nd", "Nd", "Nd", "Nd", "Nd", "Nd", "Nd", "Nd", "Nd", "Nd", "Nd", "Th", "Th", "Th", "Th", "Th", "Th", "Th", "Th", "Th", "Th", "Th", "Th", "Th", "Th", "Th", "Th", "Th", "Th", "Th", "Th", "Hg", "Hg", "Hg", "Hg", "Hg", "Hg", "Hg", "Hg", "Hg", "Hg", "Hg", "Hg", "Hg", "Hg", "Hg", "Hg", "Hg", "Hg", "Hg", "Hg", "Hg", "Hg", "Hg", "Hg", "Hg", "Hg", "Hg", "Hg", "Hg", "Hg", "Hg", "Hg", "Hg", "Hg", "Hg", "Hg", "Hg", "Hg", "Hg", "Hg", "Hg", "Hg", "Hg", "Hg", "Hg", "Hg", "Hg", "Hg"],
  "frac_coords": [[0.125, 0.250, 0.375], [0.125, 0.375, 0.750], [0.250, 0.375, 0.125], [0.250, 0.875, 0.625], [0.375, 0.125, 0.250], [0.375, 0.750, 0.125], [0.625, 0.250, 0.875], [0.625, 0.875, 0.750], [0.750, 0.125, 0.375], [0.750, 0.625, 0.875], [0.875, 0.625, 0.250], [0.875, 0.750, 0.625], [0.000, 0.000, 0.000], [0.000, 0.000, 0.500], [0.000, 0.500, 0.000], [0.000, 0.500, 0.500], [0.125, 0.750, 0.875], [0.125, 0.875, 0.250], [0.250, 0.125, 0.875], [0.250, 0.625, 0.375], [0.375, 0.250, 0.625], [0.375, 0.625, 0.750], [0.500, 0.000, 0.000], [0.500, 0.000, 0.500], [0.500, 0.500, 0.000], [0.500, 0.500, 0.500], [0.625, 0.375, 0.250], [0.625, 0.750, 0.375], [0.750, 0.375, 0.625], [0.750, 0.875, 0.125], [0.875, 0.125, 0.750], [0.875, 0.250, 0.125], [0.070, 0.230, 0.147], [0.070, 0.340, 0.923], [0.077, 0.647, 0.418], [0.077, 0.930, 0.660], [0.082, 0.730, 0.660], [0.082, 0.853, 0.423], [0.147, 0.070, 0.230], [0.147, 0.577, 0.918], [0.160, 0.230, 0.582], [0.160, 0.430, 0.577], [0.230, 0.147, 0.070], [0.230, 0.582, 0.160], [0.270, 0.340, 0.918], [0.270, 0.430, 0.353], [0.340, 0.918, 0.270], [0.340, 0.923, 0.070], [0.353, 0.270, 0.430], [0.353, 0.582, 0.923], [0.418, 0.077, 0.647], [0.418, 0.840, 0.770], [0.423, 0.082, 0.853], [0.423, 0.840, 0.570], [0.430, 0.353, 0.270], [0.430, 0.577, 0.160], [0.570, 0.423, 0.840], [0.570, 0.647, 0.730], [0.577, 0.160, 0.430], [0.577, 0.918, 0.147], [0.582, 0.160, 0.230], [0.582, 0.923, 0.353], [0.647, 0.418, 0.077], [0.647, 0.730, 0.570], [0.660, 0.077, 0.930], [0.660, 0.082, 0.730], [0.730, 0.570, 0.647], [0.730, 0.660, 0.082], [0.770, 0.418, 0.840], [0.770, 0.853, 0.930], [0.840, 0.570, 0.423], [0.840, 0.770, 0.418], [0.853, 0.423, 0.082], [0.853, 0.930, 0.770], [0.918, 0.147, 0.577], [0.918, 0.270, 0.340], [0.923, 0.070, 0.340], [0.923, 0.353, 0.582], [0.930, 0.660, 0.077], [0.930, 0.770, 0.853]],
  "dos_at_fermi_per_ev_fu": 17.80,
  "e_tot_ev_per_cell": -205.420
}

(2)
{
  "formula": "NdThHg6",
  "functional": "PBE",
  "state": "relaxed",
  "lattice": [[6.829, 0.000, 0.000], [-3.414, 5.914, 0.000], [0.000, 0.000, 5.028]],
  "species": ["Nd", "Th", "Hg", "Hg", "Hg", "Hg", "Hg", "Hg"],
  "frac_coords": [[0.000, 0.000, 0.000], [0.667, 0.333, 0.500], [0.007, 0.503, 0.000], [0.171, 0.342, 0.500], [0.171, 0.829, 0.500], [0.497, 0.503, 0.000], [0.497, 0.993, 0.000], [0.658, 0.829, 0.500]],
  "dos_at_fermi_per_ev_fu": 5.89,
  "e_tot_ev_per_cell": -16.523
}

(3)
{
  "formula": "NdTh2Hg5",
  "functional": "PBE",
  "state": "relaxed",
  "lattice": [[-2.600, 2.600, 7.862], [2.600, -2.600, 7.862], [2.600, 2.600, -7.862]],
  "species": ["Nd", "Th", "Th", "Hg", "Hg", "Hg", "Hg", "Hg"],
  "frac_coords": [[0.000, 0.000, 0.000], [0.263, 0.263, 0.000], [0.737, 0.737, 0.000], [0.119, 0.619, 0.500], [0.381, 0.881, 0.500], [0.500, 0.500, 0.000], [0.619, 0.119, 0.500], [0.881, 0.381, 0.500]],
  "dos_at_fermi_per_ev_fu": 5.52,
  "e_tot_ev_per_cell": -23.456
}

Q: What is the formula in the third record?
A: NdTh2Hg5